Density functional theory data (PBE) for crystalline LaTbSbAs at its relaxed geometry.

Unit cell a=7.623 b=7.623 c=7.623 alpha=33.36 beta=33.36 gamma=33.36
Fractional positions:
La1 0.000 0.000 0.000
Tb1 0.489 0.489 0.489
Sb1 0.240 0.240 0.240
As1 0.748 0.748 0.748

Results
space-group type	R3m, No. 160
electronic total energy	-23.785	eV per cell
M_tot	0.00	μB/f.u.
ΔE_f (raw)	-1.364	eV per atom


Density functional theory data (PBE) for crystalline Cr7W at its relaxed geometry.

Unit cell a=5.808 b=5.808 c=5.808 alpha=89.80 beta=89.80 gamma=89.80
Fractional positions:
Cr1 0.121 0.121 0.121
Cr2 0.121 0.121 0.629
Cr3 0.121 0.629 0.121
Cr4 0.123 0.629 0.629
Cr5 0.371 0.371 0.877
Cr6 0.371 0.877 0.371
Cr7 0.371 0.879 0.879
Cr8 0.629 0.121 0.121
Cr9 0.629 0.123 0.629
Cr10 0.629 0.629 0.123
Cr11 0.877 0.371 0.371
Cr12 0.879 0.371 0.879
Cr13 0.879 0.879 0.371
Cr14 0.879 0.879 0.879
W1 0.370 0.370 0.370
W2 0.630 0.630 0.630

Results
space-group type	R-3m, No. 166
electronic total energy	-159.943	eV per cell
M_tot	0.00	μB/f.u.
relative energy among the computed polymorphs	0.0	meV per atom
energy relative to the elements	0.04	eV/atom


Density functional theory data (PBE) for crystalline SnSbF2 at its relaxed geometry.

Unit cell a=6.032 b=6.032 c=6.032 alpha=104.71 beta=104.71 gamma=119.47
Fractional positions:
Sn1 0.000 0.000 0.000
Sn2 0.750 0.250 0.500
Sb1 0.250 0.750 0.500
Sb2 0.500 0.500 0.000
F1 0.037 0.625 0.912
F2 0.375 0.287 0.412
F3 0.713 0.125 0.088
F4 0.875 0.963 0.588

Results
space-group type	I-42d, No. 122
electronic total energy	-32.800	eV per cell
M_tot	0.00	μB/f.u.
relative energy among the computed polymorphs	191.1	meV per atom
ΔE_f (raw)	-1.133	eV per atom


Density functional theory data (PBE) for crystalline YRu2S at its relaxed geometry.

Unit cell a=4.519 b=4.519 c=4.519 alpha=60.00 beta=60.00 gamma=60.00
Fractional positions:
Y1 0.000 0.000 0.000
Ru1 0.250 0.250 0.250
Ru2 0.750 0.750 0.750
S1 0.500 0.500 0.500

Results
space-group type	Fm-3m, No. 225
electronic total energy	-28.526	eV per cell
M_tot	0.00	μB/f.u.
ΔE_f (raw)	0.154	eV per atom


Density functional theory data (PBE) for crystalline TlCu4Hg at its relaxed geometry.

Unit cell a=5.129 b=5.129 c=5.129 alpha=60.00 beta=60.00 gamma=60.00
Fractional positions:
Tl1 0.000 0.000 0.000
Cu1 0.126 0.625 0.625
Cu2 0.625 0.126 0.625
Cu3 0.625 0.625 0.126
Cu4 0.625 0.625 0.625
Hg1 0.250 0.250 0.250

Results
space-group type	F-43m, No. 216
electronic total energy	-18.098	eV per cell
M_tot	0.00	μB/f.u.
energy relative to the elements	0.16	eV/atom


Density functional theory data (PBE) for crystalline TlRu2Pt at its relaxed geometry.

Unit cell a=2.846 b=4.795 c=4.933 alpha=90.00 beta=90.07 gamma=90.00
Fractional positions:
Tl1 0.000 0.000 0.000
Ru1 0.232 0.500 0.277
Ru2 0.768 0.500 0.723
Pt1 0.500 0.000 0.500

Results
space-group type	P2/m, No. 10
electronic total energy	-24.812	eV per cell
M_tot	0.00	μB/f.u.
relative energy among the computed polymorphs	276.7	meV per atom
energy relative to the elements	0.54	eV/atom